Record 1
! GGA-PBE Nd8IrPb2, relaxed; values from VASP
! Energy of formation = -0.353 eV/atom
! Crystal system = monoclinic
&SYSTEM
  ibrav = 0, nat = 11, ntyp = 3
/
ATOMIC_SPECIES
Nd 144.24 Nd.upf
Ir 192.22 Ir.upf
Pb 207.20 Pb.upf
ATOMIC_POSITIONS crystal
Nd 0.015 0.015 0.285
Nd 0.216 0.216 0.826
Nd 0.356 0.356 0.497
Nd 0.411 0.411 0.037
Nd 0.589 0.589 0.963
Nd 0.644 0.644 0.503
Nd 0.784 0.784 0.174
Nd 0.985 0.985 0.715
Ir 0.500 0.500 0.500
Pb 0.181 0.181 0.258
Pb 0.819 0.819 0.742
CELL_PARAMETERS angstrom
10.000 -2.559 0.000
10.000 2.559 0.000
-1.827 0.000 6.780

***

Record 2
! GGA-PBE Nd3IrPb2, relaxed; values from VASP
! Offset from the most stable computed form = 0.79 eV per formula unit
! Energy of formation = -0.456 eV/atom
! Crystal system = monoclinic
&SYSTEM
  ibrav = 0, nat = 12, ntyp = 3
/
ATOMIC_SPECIES
Nd 144.24 Nd.upf
Ir 192.22 Ir.upf
Pb 207.20 Pb.upf
ATOMIC_POSITIONS crystal
Nd 0.174 0.826 0.750
Nd 0.245 0.444 0.378
Nd 0.444 0.245 0.878
Nd 0.556 0.755 0.122
Nd 0.755 0.556 0.622
Nd 0.826 0.174 0.250
Ir 0.370 0.630 0.250
Ir 0.630 0.370 0.750
Pb 0.032 0.274 0.014
Pb 0.274 0.032 0.514
Pb 0.726 0.968 0.486
Pb 0.968 0.726 0.986
CELL_PARAMETERS angstrom
6.963 -3.220 0.000
6.963 3.220 0.000
-2.590 0.000 7.914

***

Record 3
! GGA-PBE Nd2IrPb, relaxed; values from VASP
! Offset from the most stable computed form = 0.33 eV per formula unit
! Energy of formation = -0.487 eV/atom
! Crystal system = trigonal
&SYSTEM
  ibrav = 0, nat = 4, ntyp = 3
/
ATOMIC_SPECIES
Nd 144.24 Nd.upf
Ir 192.22 Ir.upf
Pb 207.20 Pb.upf
ATOMIC_POSITIONS crystal
Nd 0.333 0.667 0.199
Nd 0.667 0.333 0.801
Ir 0.000 0.000 0.000
Pb 0.000 0.000 0.500
CELL_PARAMETERS angstrom
4.393 0.000 0.000
-2.196 3.804 0.000
0.000 0.000 7.110

***

Record 4
! GGA-PBE Nd4IrPb2, relaxed; values from VASP
! Offset from the most stable computed form = 0.59 eV per formula unit
! Energy of formation = -0.475 eV/atom
! Crystal system = monoclinic
&SYSTEM
  ibrav = 0, nat = 14, ntyp = 3
/
ATOMIC_SPECIES
Nd 144.24 Nd.upf
Ir 192.22 Ir.upf
Pb 207.20 Pb.upf
ATOMIC_POSITIONS crystal
Nd 0.181 0.250 0.107
Nd 0.271 0.750 0.385
Nd 0.311 0.004 0.755
Nd 0.311 0.496 0.755
Nd 0.689 0.504 0.245
Nd 0.689 0.996 0.245
Nd 0.729 0.250 0.615
Nd 0.819 0.750 0.893
Ir 0.447 0.250 0.365
Ir 0.553 0.750 0.635
Pb 0.089 0.250 0.449
Pb 0.302 0.750 0.049
Pb 0.698 0.250 0.951
Pb 0.911 0.750 0.551
CELL_PARAMETERS angstrom
6.899 0.000 0.000
0.000 6.794 0.000
-2.199 0.000 9.365

***

Record 5
! GGA-PBE Nd2IrPb, relaxed; values from VASP
! Offset from the most stable computed form = 0.32 eV per formula unit
! Energy of formation = -0.491 eV/atom
! Crystal system = trigonal
&SYSTEM
  ibrav = 0, nat = 4, ntyp = 3
/
ATOMIC_SPECIES
Nd 144.24 Nd.upf
Ir 192.22 Ir.upf
Pb 207.20 Pb.upf
ATOMIC_POSITIONS crystal
Nd 0.231 0.231 0.231
Nd 0.769 0.769 0.769
Ir 0.500 0.500 0.500
Pb 0.000 0.000 0.000
CELL_PARAMETERS angstrom
2.010 1.160 8.639
-2.010 1.160 8.639
0.000 -2.320 8.639

***

Record 6
! GGA-PBE Nd4IrPb2, relaxed; values from VASP
! Offset from the most stable computed form = 0.00 eV per formula unit
! Energy of formation = -0.559 eV/atom
! Crystal system = monoclinic
&SYSTEM
  ibrav = 0, nat = 7, ntyp = 3
/
ATOMIC_SPECIES
Nd 144.24 Nd.upf
Ir 192.22 Ir.upf
Pb 207.20 Pb.upf
ATOMIC_POSITIONS crystal
Nd 0.070 0.070 0.349
Nd 0.332 0.332 0.941
Nd 0.668 0.668 0.059
Nd 0.930 0.930 0.651
Ir 0.000 0.000 0.000
Pb 0.351 0.351 0.340
Pb 0.649 0.649 0.660
CELL_PARAMETERS angstrom
5.940 -2.345 0.000
5.940 2.345 0.000
-4.652 0.000 7.713

***

Which of these has the lowest energy of formation? number 6